Entry 1:
This record from Alexandria describes an optimized crystal structure of U2Co12P7. The functional is PBE-GGA.

Computed properties:
The calculated formation energy is -14.4 eV/f.u.

Lattice parameters (Å, degrees): 9.0136 9.0136 3.5963 90.00 90.00 120.00
Closest atoms and distances in Å follow each position.
Fractional coordinates of all 21 atoms:
1 U 0.0000 0.0000 0.0000  6 P 2.87, 12 Co 2.94-3.20
2 U 0.3333 0.6667 0.5000  6 P 2.85, 9 Co 2.90-3.14
3 Co 0.1057 0.3956 0.0000  4 P 2.24-2.31
4 Co 0.6044 0.7101 0.0000  4 P 2.24-2.31
5 Co 0.2899 0.8943 0.0000  4 P 2.24-2.31
6 Co 0.0492 0.7707 0.5000  4 P 2.24-2.31
7 Co 0.2293 0.2785 0.5000  4 P 2.24-2.31
8 Co 0.7215 0.9508 0.5000  4 P 2.24-2.31
9 Co 0.8192 0.6066 0.0000  4 P 2.14-2.27
10 Co 0.3934 0.2126 0.0000  4 P 2.14-2.27
11 Co 0.7874 0.1808 0.0000  4 P 2.14-2.27
12 Co 0.9047 0.4396 0.5000  3 P 2.22-2.39
13 Co 0.5604 0.4651 0.5000  3 P 2.22-2.39
14 Co 0.5349 0.0953 0.5000  3 P 2.22-2.39
15 P 0.7759 0.7338 0.5000  7 Co 2.22-2.31
16 P 0.2662 0.0421 0.5000  7 Co 2.22-2.31
17 P 0.9579 0.2241 0.5000  7 Co 2.22-2.31
18 P 0.6667 0.3333 0.0000  3 Co 2.14
19 P 0.0692 0.6242 0.0000  7 Co 2.18-2.39
20 P 0.3758 0.4450 0.0000  7 Co 2.18-2.39
21 P 0.5550 0.9308 0.0000  7 Co 2.18-2.39

Entry 2:
This record from Alexandria describes an optimized crystal structure of CaCdS2. The functional is PBE-GGA.

Computed properties:
The calculation puts the formation energy (no corrections) at -1154 meV per atom.

Lattice parameters (Å, degrees): 7.8231 7.8231 7.8231 32.04 32.04 32.04
Closest atoms and distances in Å follow each position.
Fractional coordinates of all 4 atoms:
1 Ca 0.5000 0.5000 0.5000  6 S 2.85
2 S 0.8954 0.8954 0.8954  1 Cd 2.33
3 S 0.1046 0.1046 0.1046  1 Cd 2.33
4 Cd 0.0000 0.0000 0.0000  2 S 2.33

Entry 3:
This record from Alexandria describes an optimized crystal structure of CaGaAgHg. The functional is PBE-GGA.

Computed properties:
The calculated formation energy is -1.1 eV/f.u.

Lattice parameters (Å, degrees): 5.0104 5.0104 5.0104 60.00 60.00 60.00
Closest atoms and distances in Å follow each position.
Fractional coordinates of all 4 atoms:
1 Ga 0.5000 0.5000 0.5000  4 Ag 3.07, 4 Hg 3.07
2 Ca 0.0000 0.0000 0.0000  4 Hg 3.07, 4 Ag 3.07
3 Hg 0.7500 0.7500 0.7500  4 Ca 3.07, 4 Ga 3.07
4 Ag 0.2500 0.2500 0.2500  4 Ca 3.07, 4 Ga 3.07

Entry 4:
This record from Alexandria describes an optimized crystal structure of Ba2Mg4SnGe3. The functional is PBE-GGA.

Computed properties:
The calculated formation energy is -4.6 eV/f.u.

Lattice parameters (Å, degrees): 4.7387 4.7387 11.6568 90.00 90.00 90.00
Closest atoms and distances in Å follow each position.
Fractional coordinates of all 10 atoms:
1 Ba 0.5000 0.0000 0.2463  8 Mg 3.60-3.72, 6 Ge 3.62-3.79, 2 Sn 3.79
2 Ba 0.0000 0.5000 0.7537  8 Mg 3.60-3.72, 6 Ge 3.62-3.79, 2 Sn 3.79
3 Mg 0.5000 0.5000 0.0000  4 Ge 2.81
4 Mg 0.0000 0.0000 0.0000  4 Ge 2.81
5 Mg 0.5000 0.0000 0.6405  3 Ge 2.68-2.88, 2 Sn 2.88
6 Mg 0.0000 0.5000 0.3595  3 Ge 2.68-2.88, 2 Sn 2.88
7 Sn 0.5000 0.5000 0.5000  4 Mg 2.88
8 Ge 0.0000 0.0000 0.5000  4 Mg 2.88
9 Ge 0.5000 0.0000 0.8704  5 Mg 2.68-2.81
10 Ge 0.0000 0.5000 0.1296  5 Mg 2.68-2.81

Entry 5:
This record from Alexandria describes an optimized crystal structure of Zr4AlGa. The functional is PBE-GGA.

Computed properties:
The calculated formation energy is -2.4 eV/f.u.

Lattice parameters (Å, degrees): 5.4859 6.7452 6.7452 90.00 90.00 90.00
Closest atoms and distances in Å follow each position.
Fractional coordinates of all 12 atoms:
1 Zr 0.0000 0.1551 0.6512  2 Ga 2.89, 2 Al 2.92, 1 Zr 2.92
2 Zr 0.0000 0.8449 0.3488  2 Ga 2.89, 2 Al 2.92, 1 Zr 2.92
3 Zr 0.0000 0.3488 0.1551  2 Ga 2.89, 2 Al 2.92, 1 Zr 2.92
4 Zr 0.0000 0.6512 0.8449  2 Ga 2.89, 2 Al 2.92, 1 Zr 2.92
5 Zr 0.5000 0.8449 0.6512  2 Ga 2.89, 2 Al 2.92, 1 Zr 2.92
6 Zr 0.5000 0.1551 0.3488  2 Ga 2.89, 2 Al 2.92, 1 Zr 2.92
7 Zr 0.5000 0.6512 0.1551  2 Ga 2.89, 2 Al 2.92, 1 Zr 2.92
8 Zr 0.5000 0.3488 0.8449  2 Ga 2.89, 2 Al 2.92, 1 Zr 2.92
9 Al 0.2500 0.0000 0.0000  2 Al 2.74, 8 Zr 2.92
10 Al 0.7500 0.0000 0.0000  2 Al 2.74, 8 Zr 2.92
11 Ga 0.2500 0.5000 0.5000  2 Ga 2.74, 8 Zr 2.89
12 Ga 0.7500 0.5000 0.5000  2 Ga 2.74, 8 Zr 2.89

Entry 6:
This record from Alexandria describes an optimized crystal structure of NaGaI2. The functional is PBE-GGA.

Computed properties:
The energy relative to the lowest polymorph listed for this composition is 70 meV per atom. The calculation puts the formation energy (no corrections) at -722 meV per atom.

Lattice parameters (Å, degrees): 7.3305 7.3305 8.9443 65.81 65.81 90.00
Closest atoms and distances in Å follow each position.
Fractional coordinates of all 8 atoms:
1 I 0.6105 0.1250 0.2500  2 Na 3.11, 2 Ga 3.23
2 I 0.1395 0.6250 0.2500  2 Na 3.11, 2 Ga 3.23
3 I 0.3750 0.3895 0.7500  2 Na 3.11, 2 Ga 3.23
4 I 0.8750 0.8605 0.7500  2 Na 3.11, 2 Ga 3.23
5 Na 0.5000 0.5000 0.0000  4 I 3.11
6 Na 0.2500 0.7500 0.5000  4 I 3.11
7 Ga 0.0000 0.0000 0.0000  4 I 3.23
8 Ga 0.7500 0.2500 0.5000  4 I 3.23